NaTiTe3: optimized geometry, GGA-PBE.

Cell lengths 5.417, 5.417, 5.417 Å; angles 90.00, 90.00, 90.00 degrees
Space group Pm-3m (No. 221)
Symmetry-distinct sites (fractional):
Na 0.000 0.000 0.000 x1
Ti 0.500 0.500 0.500 x1
Te 0.000 0.500 0.500 x3

Calculated values
Formation energy from raw total energies ... -0.446 eV/atom
Total magnetization ... 0.000 μB per formula unit
Distance to the lowest polymorph of the same formula ... 0.109 eV per atom



Hg3Rh4: optimized geometry, GGA-PBE.

Cell lengths 2.921, 2.921, 28.497 Å; angles 90.00, 90.00, 90.00 degrees
Space group I4/mmm (No. 139)
Symmetry-distinct sites (fractional):
Hg 0.000 0.000 0.000 x2
Hg 0.000 0.000 0.296 x4
Rh 0.000 0.000 0.132 x4
Rh 0.000 0.000 0.427 x4

Calculated values
Total magnetization ... 2.155 μB per formula unit
Formation enthalpy at 0 K ... 0.182 eV/atom
Distance to the lowest polymorph of the same formula ... 0.000 eV per atom



YFe10Mo2N: optimized geometry, GGA-PBE.

Cell lengths 4.763, 8.620, 8.680 Å; angles 90.00, 90.00, 90.00 degrees
Space group Immm (No. 71)
Symmetry-distinct sites (fractional):
Y 0.000 0.000 0.000 x2
Fe 0.000 0.000 0.360 x4
Fe 0.000 0.278 0.500 x4
Fe 0.000 0.500 0.280 x4
Fe 0.250 0.250 0.250 x8
Mo 0.000 0.358 0.000 x4
N 0.000 0.500 0.500 x2

Calculated values
Formation energy from raw total energies ... -0.109 eV/atom
Total magnetization ... 19.470 μB per formula unit



ZnFeH4: optimized geometry, GGA-PBE.

Cell lengths 5.700, 9.745, 4.328 Å; angles 90.00, 128.80, 90.00 degrees
Space group C2/c (No. 15)
Symmetry-distinct sites (fractional):
Zn 0.000 0.174 0.250 x4
Fe 0.000 0.437 0.250 x4
H 0.165 0.338 0.162 x8
H 0.226 0.446 0.732 x8

Calculated values
E_tot ... -0.138 hartree per atom
Total magnetization ... 0.000 μB per formula unit